1.
Density functional theory data (PBE) for a relaxed Tb6DyYSc2 crystal.

Cell lengths 8.660, 8.660, 9.378 Å; angles 93.63, 93.63, 117.86 degrees
Positions (direct):
Tb  0.018  0.562  0.182
Tb  0.119  0.757  0.553
Tb  0.243  0.881  0.947
Tb  0.296  0.503  0.382
Tb  0.438  0.982  0.318
Tb  0.497  0.704  0.118
Tb  0.503  0.296  0.882
Tb  0.562  0.018  0.682
Tb  0.704  0.497  0.618
Tb  0.757  0.119  0.053
Tb  0.881  0.243  0.447
Tb  0.982  0.438  0.818
Dy  0.408  0.592  0.750
Dy  0.592  0.408  0.250
Y  0.026  0.974  0.250
Y  0.974  0.026  0.750
Sc  0.197  0.305  0.046
Sc  0.305  0.197  0.546
Sc  0.695  0.803  0.454
Sc  0.803  0.695  0.954

## Properties
Volume in Å³/cell: 617.1
SG: C2/c (15)
ΔE_f in meV/atom: 122

=====

2.
Density functional theory data (PBE) for a relaxed Tb5DyYSc2 crystal.

Cell lengths 11.068, 11.068, 9.355 Å; angles 90.00, 90.00, 150.69 degrees
Positions (direct):
Tb  0.011  0.989  0.500
Tb  0.266  0.734  0.818
Tb  0.306  0.694  0.207
Tb  0.392  0.608  0.534
Tb  0.468  0.532  0.236
Tb  0.532  0.468  0.736
Tb  0.608  0.392  0.034
Tb  0.694  0.306  0.707
Tb  0.734  0.266  0.318
Tb  0.989  0.011  0.000
Dy  0.402  0.598  0.907
Dy  0.598  0.402  0.407
Y  0.185  0.815  0.505
Y  0.815  0.185  0.005
Sc  0.114  0.886  0.814
Sc  0.135  0.865  0.189
Sc  0.865  0.135  0.689
Sc  0.886  0.114  0.314

## Properties
Volume in Å³/cell: 561.1
SG: Cmc2_1 (36)
ΔE_f in meV/atom: 167

=====

3.
Density functional theory data (PBE) for a relaxed Tb4Dy2YSc crystal.

Cell lengths 4.986, 4.986, 9.916 Å; angles 90.00, 90.00, 90.00 degrees
Positions (direct):
Tb  0.000  0.500  0.244
Tb  0.000  0.500  0.756
Tb  0.500  0.000  0.244
Tb  0.500  0.000  0.756
Dy  0.000  0.000  0.000
Dy  0.500  0.500  0.500
Y  0.000  0.000  0.500
Sc  0.500  0.500  0.000

## Properties
Volume in Å³/cell: 246.5
SG: P4/mmm (123)
ΔE_f in meV/atom: 30

=====

4.
Density functional theory data (PBE) for a relaxed TbDyScZn crystal.

Cell lengths 3.475, 3.475, 8.421 Å; angles 90.00, 90.00, 90.00 degrees
Positions (direct):
Tb  0.000  0.000  0.000
Dy  0.500  0.500  0.691
Sc  0.500  0.500  0.285
Zn  0.000  0.000  0.462

## Properties
Volume in Å³/cell: 101.7
SG: P4mm (99)
ΔE_f in meV/atom: -150

=====

5.
Density functional theory data (PBE) for a relaxed TbDyScZn crystal.

Cell lengths 5.217, 5.217, 5.217 Å; angles 60.00, 60.00, 60.00 degrees
Positions (direct):
Tb  0.000  0.000  0.000
Dy  0.500  0.500  0.500
Sc  0.750  0.750  0.750
Zn  0.250  0.250  0.250

## Properties
Volume in Å³/cell: 100.4
SG: F-43m (216)
ΔE_f in meV/atom: -11

=====

6.
Density functional theory data (PBE) for a relaxed Tb2DyZrSc4 crystal.

Cell lengths 4.785, 4.799, 9.272 Å; angles 90.00, 90.00, 90.00 degrees
Positions (direct):
Tb  0.000  0.000  0.000
Tb  0.500  0.500  0.500
Dy  0.000  0.000  0.500
Zr  0.500  0.500  0.000
Sc  0.000  0.500  0.239
Sc  0.000  0.500  0.761
Sc  0.500  0.000  0.239
Sc  0.500  0.000  0.761

## Properties
Volume in Å³/cell: 212.9
SG: Pmmm (47)
ΔE_f in meV/atom: 55

=====

7.
Density functional theory data (PBE) for a relaxed TbDyZrSc crystal.

Cell lengths 5.372, 5.372, 5.372 Å; angles 60.00, 60.00, 60.00 degrees
Positions (direct):
Tb  0.000  0.000  0.000
Dy  0.500  0.500  0.500
Zr  0.250  0.250  0.250
Sc  0.750  0.750  0.750

## Properties
Volume in Å³/cell: 109.6
SG: F-43m (216)
ΔE_f in meV/atom: 186

=====

8.
Density functional theory data (PBE) for a relaxed Dy2ScTc crystal.

Cell lengths 10.911, 10.911, 10.911 Å; angles 17.11, 17.11, 17.11 degrees
Positions (direct):
Dy  0.081  0.081  0.081
Dy  0.919  0.919  0.919
Sc  0.500  0.500  0.500
Tc  0.000  0.000  0.000

## Properties
Volume in Å³/cell: 98.1
SG: R-3m (166)
ΔE_f in meV/atom: 602

=====

9.
Density functional theory data (PBE) for a relaxed DySc2Tc9 crystal.

Cell lengths 9.153, 9.153, 9.153 Å; angles 33.43, 33.43, 33.43 degrees
Positions (direct):
Dy  0.000  0.000  0.000
Sc  0.144  0.144  0.144
Sc  0.856  0.856  0.856
Tc  0.075  0.591  0.591
Tc  0.337  0.337  0.337
Tc  0.409  0.409  0.925
Tc  0.409  0.925  0.409
Tc  0.500  0.500  0.500
Tc  0.591  0.075  0.591
Tc  0.591  0.591  0.075
Tc  0.663  0.663  0.663
Tc  0.925  0.409  0.409

## Properties
Volume in Å³/cell: 207.2
SG: R-3m (166)
ΔE_f in meV/atom: -117

=====

10.
Density functional theory data (PBE) for a relaxed Dy2ScTc crystal.

Cell lengths 7.185, 9.050, 6.159 Å; angles 90.00, 90.00, 90.00 degrees
Positions (direct):
Dy  0.179  0.062  0.163
Dy  0.179  0.438  0.163
Dy  0.321  0.562  0.663
Dy  0.321  0.938  0.663
Dy  0.679  0.062  0.337
Dy  0.679  0.438  0.337
Dy  0.821  0.562  0.837
Dy  0.821  0.938  0.837
Sc  0.047  0.250  0.635
Sc  0.453  0.750  0.135
Sc  0.547  0.250  0.865
Sc  0.953  0.750  0.365
Tc  0.117  0.750  0.979
Tc  0.383  0.250  0.479
Tc  0.617  0.750  0.521
Tc  0.883  0.250  0.021

## Properties
Volume in Å³/cell: 400.5
SG: Pnma (62)
ΔE_f in meV/atom: -118

=====

11.
Density functional theory data (PBE) for a relaxed Dy3ScTc8 crystal.

Cell lengths 9.308, 9.308, 9.308 Å; angles 33.50, 33.50, 33.50 degrees
Positions (direct):
Dy  0.000  0.000  0.000
Dy  0.126  0.126  0.126
Dy  0.625  0.625  0.625
Sc  0.500  0.500  0.500
Tc  0.062  0.062  0.560
Tc  0.062  0.560  0.062
Tc  0.066  0.563  0.563
Tc  0.313  0.313  0.313
Tc  0.560  0.062  0.062
Tc  0.563  0.066  0.563
Tc  0.563  0.563  0.066
Tc  0.813  0.813  0.813

## Properties
Volume in Å³/cell: 218.8
SG: R3m (160)
ΔE_f in meV/atom: -166

=====

12.
Density functional theory data (PBE) for a relaxed Dy2ScTc crystal.

Cell lengths 3.464, 3.464, 8.168 Å; angles 90.00, 90.00, 90.00 degrees
Positions (direct):
Dy  0.000  0.000  0.200
Dy  0.000  0.000  0.800
Sc  0.500  0.500  0.500
Tc  0.500  0.500  0.000

## Properties
Volume in Å³/cell: 98.0
SG: P4/mmm (123)
ΔE_f in meV/atom: 51

=====

13.
Density functional theory data (PBE) for a relaxed Dy2Sc6Tc crystal.

Cell lengths 3.432, 8.575, 8.575 Å; angles 119.36, 90.00, 90.00 degrees
Positions (direct):
Dy  0.000  0.173  0.827
Dy  0.000  0.827  0.173
Sc  0.000  0.251  0.489
Sc  0.000  0.489  0.251
Sc  0.000  0.764  0.764
Sc  0.500  0.121  0.121
Sc  0.500  0.505  0.846
Sc  0.500  0.846  0.505
Tc  0.500  0.514  0.514

## Properties
Volume in Å³/cell: 219.9
SG: Amm2 (38)
ΔE_f in meV/atom: -14

=====

14.
Density functional theory data (PBE) for a relaxed DySc3Tc crystal.

Cell lengths 5.063, 5.063, 5.063 Å; angles 90.00, 90.00, 90.00 degrees
Positions (direct):
Dy  0.000  0.000  0.000
Sc  0.000  0.500  0.500
Sc  0.500  0.000  0.500
Sc  0.500  0.500  0.000
Tc  0.500  0.500  0.500

## Properties
Volume in Å³/cell: 129.8
SG: Pm-3m (221)
ΔE_f in meV/atom: 52

=====

15.
Density functional theory data (PBE) for a relaxed DySc3Tc crystal.

Cell lengths 8.342, 3.477, 8.350 Å; angles 90.00, 105.90, 90.00 degrees
Positions (direct):
Dy  0.054  0.250  0.172
Dy  0.946  0.750  0.828
Sc  0.194  0.250  0.643
Sc  0.347  0.750  0.019
Sc  0.359  0.750  0.402
Sc  0.641  0.250  0.598
Sc  0.653  0.250  0.981
Sc  0.806  0.750  0.357
Tc  0.454  0.750  0.738
Tc  0.546  0.250  0.262

## Properties
Volume in Å³/cell: 232.9
SG: P2_1/m (11)
ΔE_f in meV/atom: -91

=====

16.
Density functional theory data (PBE) for a relaxed Dy3ScTc crystal.

Cell lengths 4.980, 8.126, 6.480 Å; angles 90.00, 90.00, 90.00 degrees
Positions (direct):
Dy  0.250  0.049  0.193
Dy  0.250  0.250  0.731
Dy  0.250  0.451  0.193
Dy  0.750  0.549  0.807
Dy  0.750  0.750  0.269
Dy  0.750  0.951  0.807
Sc  0.250  0.750  0.590
Sc  0.750  0.250  0.410
Tc  0.250  0.750  0.989
Tc  0.750  0.250  0.011

## Properties
Volume in Å³/cell: 262.2
SG: Pmmn (59)
ΔE_f in meV/atom: -8

=====

17.
Density functional theory data (PBE) for a relaxed DyThScTc crystal.

Cell lengths 5.120, 5.120, 5.120 Å; angles 60.00, 60.00, 60.00 degrees
Positions (direct):
Dy  0.000  0.000  0.000
Th  0.500  0.500  0.500
Sc  0.250  0.250  0.250
Tc  0.750  0.750  0.750

## Properties
Volume in Å³/cell: 94.9
SG: F-43m (216)
ΔE_f in meV/atom: 71

=====

18.
Density functional theory data (PBE) for a relaxed Dy4ScTe5 crystal.

Cell lengths 16.059, 16.059, 16.059 Å; angles 164.78, 164.78, 21.59 degrees
Positions (direct):
Dy  0.108  0.108  0.000
Dy  0.313  0.313  0.000
Dy  0.687  0.687  0.000
Dy  0.892  0.892  0.000
Sc  0.500  0.500  0.000
Te  0.000  0.000  0.000
Te  0.207  0.207  0.000
Te  0.409  0.409  0.000
Te  0.591  0.591  0.000
Te  0.793  0.793  0.000

## Properties
Volume in Å³/cell: 285.3
SG: I4/mmm (139)
Uncorrected formation energy in eV/atom: -1.243

=====

19.
Density functional theory data (PBE) for a relaxed Dy3ScTe4 crystal.

Cell lengths 7.492, 7.492, 4.271 Å; angles 90.00, 90.00, 108.97 degrees
Positions (direct):
Dy  0.000  0.000  0.000
Dy  0.000  0.500  0.500
Dy  0.500  0.000  0.500
Sc  0.500  0.500  0.000
Te  0.255  0.745  0.000
Te  0.259  0.259  0.500
Te  0.741  0.741  0.500
Te  0.745  0.255  0.000

## Properties
Volume in Å³/cell: 226.7
SG: Cmmm (65)
Uncorrected formation energy in eV/atom: -1.227

=====

20.
Density functional theory data (PBE) for a relaxed Dy6ScTe8 crystal.

Cell lengths 8.658, 8.658, 8.658 Å; angles 60.00, 60.00, 60.00 degrees
Positions (direct):
Dy  0.000  0.000  0.500
Dy  0.000  0.500  0.000
Dy  0.000  0.500  0.500
Dy  0.500  0.000  0.000
Dy  0.500  0.000  0.500
Dy  0.500  0.500  0.000
Sc  0.000  0.000  0.000
Te  0.248  0.248  0.752
Te  0.248  0.752  0.248
Te  0.248  0.752  0.752
Te  0.250  0.250  0.250
Te  0.750  0.750  0.750
Te  0.752  0.248  0.248
Te  0.752  0.248  0.752
Te  0.752  0.752  0.248

## Properties
Volume in Å³/cell: 458.9
SG: Fm-3m (225)
Uncorrected formation energy in eV/atom: -1.331

=====

21.
Density functional theory data (PBE) for a relaxed DySc5Te6 crystal.

Cell lengths 7.274, 7.274, 7.269 Å; angles 99.56, 99.56, 120.07 degrees
Positions (direct):
Dy  0.000  0.000  0.000
Sc  0.153  0.847  0.500
Sc  0.333  0.667  0.000
Sc  0.500  0.500  0.500
Sc  0.667  0.333  0.000
Sc  0.847  0.153  0.500
Te  0.086  0.431  0.259
Te  0.264  0.264  0.754
Te  0.431  0.086  0.259
Te  0.569  0.914  0.741
Te  0.736  0.736  0.246
Te  0.914  0.569  0.741

## Properties
Volume in Å³/cell: 313.9
SG: C2/m (12)
Uncorrected formation energy in eV/atom: -1.128

=====

22.
Density functional theory data (PBE) for a relaxed DyScTe crystal.

Cell lengths 6.074, 6.074, 6.074 Å; angles 143.76, 143.76, 52.19 degrees
Positions (direct):
Dy  0.000  0.000  0.000
Sc  0.318  0.318  0.000
Te  0.682  0.682  0.000

## Properties
Volume in Å³/cell: 77.9
SG: I4mm (107)
Uncorrected formation energy in eV/atom: -0.742

=====

23.
Density functional theory data (PBE) for a relaxed DySc2Te crystal.

Cell lengths 6.100, 6.100, 9.157 Å; angles 90.00, 90.00, 143.30 degrees
Positions (direct):
Dy  0.050  0.950  0.750
Dy  0.950  0.050  0.250
Sc  0.364  0.636  0.536
Sc  0.364  0.636  0.964
Sc  0.636  0.364  0.036
Sc  0.636  0.364  0.464
Te  0.234  0.766  0.250
Te  0.766  0.234  0.750

## Properties
Volume in Å³/cell: 203.6
SG: Cmcm (63)
Uncorrected formation energy in eV/atom: -0.639